Material: Ca3ZrN
Method: DFT, PBE-GGA
State: relaxed

Structure (extended XYZ):
```
5
Lattice="-3.315 2.842 -4.077 -4.970 -1.897 2.719 -0.001 4.901 3.417" Properties=species:S:1:pos:R:3 pbc="T T T"
N -4.143 2.923 1.030
Ca 0.000 2.450 1.708
Ca -2.485 -0.948 1.360
Ca -1.658 1.421 -2.038
Zr 0.000 0.000 0.000
```

distance to the lowest polymorph of the same formula = 1864.8 meV per atom
total magnetic moment = 4.91 μB per cell
crystal system = cubic
energy relative to the elements, uncorrected = 1937 meV/atom